First-principles (GGA-PBE) data for crystalline LaMgW3 at its relaxed geometry, as listed in Alexandria.

a = 4.8960 Å, b = 4.8960 Å, c = 4.8960 Å
α = 90.00°, β = 90.00°, γ = 90.00°
With the nearest neighbours (Å) after each atom.
Space group Pm-3m (No. 221)
Symmetry-distinct sites (fractional):
La (0.0000, 0.0000, 0.0000) (multiplicity 1)  6 W 2.45
Mg (0.5000, 0.5000, 0.5000) (multiplicity 1)  12 W 3.46
W (0.0000, 0.0000, 0.5000) (multiplicity 3)  2 La 2.45

Computed properties:
DOS(E_F): 7.5 states/eV/f.u.
offset from the most stable computed form: 0.580 eV per atom
ΔH_f (0 K): 2710 meV per atom